Entry 1:
# TbCePd4

A relaxed TbCePd4 crystal (PBE-GGA, Alexandria).

- Distance to the lowest polymorph of the same formula: 0 meV per atom
- Formation enthalpy at 0 K: -0.819 eV/atom
- Total magnetization: 0.51 μB/f.u.
- Total energy: -72.5 eV per cell

Unit cell a=4.193 b=5.790 c=10.140 alpha=90.00 beta=101.93 gamma=90.00
Site moments in Bohr magnetons follow the coordinates.
Sites, in units of the cell vectors:
Tb (0.724, 0.250, 0.448)  0.01
Pd (0.148, 0.010, 0.295)  0.00
Ce (0.421, 0.250, 0.842)  0.47
Pd (0.852, 0.510, 0.705)  0.00
Pd (0.427, 0.750, 0.854)  -0.01
Pd (0.000, 0.500, 0.000)  -0.01
Pd (0.852, 0.990, 0.705)  0.00
Pd (0.573, 0.250, 0.146)  -0.01
Tb (0.276, 0.750, 0.552)  0.01
Pd (0.148, 0.490, 0.295)  0.00
Pd (0.000, 0.000, 0.000)  -0.01
Ce (0.579, 0.750, 0.158)  0.47

=====

Entry 2:
# TbCePd2

A relaxed TbCePd2 crystal (PBE-GGA, Alexandria).

- Formation enthalpy at 0 K: -0.791 eV/atom
- Total magnetization: 0.82 μB/f.u.
- Total energy: -24.1 eV per cell

Unit cell a=3.756 b=4.602 c=5.686 alpha=90.00 beta=109.23 gamma=90.00
Site moments in Bohr magnetons follow the coordinates.
Sites, in units of the cell vectors:
Pd (0.171, 0.500, 0.882)  0.00
Pd (0.994, 0.000, 0.527)  -0.01
Ce (0.447, 0.500, 0.431)  0.66
Tb (0.719, 0.000, 0.978)  0.03

=====

Entry 3:
# TbCePd6

A relaxed TbCePd6 crystal (PBE-GGA, Alexandria).

- Formation enthalpy at 0 K: -0.874 eV/atom
- Total magnetization: 0.19 μB/f.u.
- Total energy: -48.7 eV per cell

Unit cell a=4.138 b=4.138 c=8.273 alpha=90.00 beta=90.00 gamma=90.00
Site moments in Bohr magnetons follow the coordinates.
Sites, in units of the cell vectors:
Pd (0.000, 0.500, 0.747)  -0.01
Pd (0.500, 0.000, 0.253)  -0.01
Pd (0.500, 0.500, 0.500)  -0.02
Pd (0.500, 0.500, 0.000)  0.00
Pd (0.500, 0.000, 0.747)  -0.01
Ce (0.000, 0.000, 0.500)  0.25
Pd (0.000, 0.500, 0.253)  -0.01
Tb (0.000, 0.000, 0.000)  -0.01

=====

Please write out number 3 again, unchanged.
# TbCePd6

A relaxed TbCePd6 crystal (PBE-GGA, Alexandria).

- Formation enthalpy at 0 K: -0.874 eV/atom
- Total magnetization: 0.19 μB/f.u.
- Total energy: -48.7 eV per cell

Unit cell a=4.138 b=4.138 c=8.273 alpha=90.00 beta=90.00 gamma=90.00
Site moments in Bohr magnetons follow the coordinates.
Sites, in units of the cell vectors:
Pd (0.000, 0.500, 0.747)  -0.01
Pd (0.500, 0.000, 0.253)  -0.01
Pd (0.500, 0.500, 0.500)  -0.02
Pd (0.500, 0.500, 0.000)  0.00
Pd (0.500, 0.000, 0.747)  -0.01
Ce (0.000, 0.000, 0.500)  0.25
Pd (0.000, 0.500, 0.253)  -0.01
Tb (0.000, 0.000, 0.000)  -0.01

=====

Among the records above, which one has the lowest total magnetization?
TbCePd6

=====

The lowest total energy belongs to which entry?
TbCePd4